[1]
Compound: MnSnMoP
Source: Alexandria
Functional: PBE
Structure: relaxed

POSCAR file:
```
MnSnMoP
1.0
3.1509 0.0000 0.0000
-1.5755 2.7288 0.0000
0.0000 0.0000 22.3901
P Mo Mn Sn
3 3 3 3
Cartesian
0.0000 0.0000 10.7958
0.0000 1.8192 3.3324
1.5755 0.9096 18.2592
0.0000 0.0000 1.7328
0.0000 1.8192 16.6596
1.5755 0.9096 9.1962
0.0000 1.8192 19.6558
0.0000 0.0000 4.7291
1.5755 0.9096 12.1924
1.5755 0.9096 21.8433
0.0000 0.0000 14.3800
0.0000 1.8192 6.9166
```

Output
Energy of formation, eV per atom: -0.142
Space-group type: R3m

***

[2]
Compound: NbPtS3
Source: Alexandria
Functional: PBE
Structure: relaxed

POSCAR file:
```
NbPtS3
1.0
4.7568 0.0000 0.0000
0.0000 4.7568 0.0000
0.0000 0.0000 4.7568
Nb S Pt
1 3 1
Cartesian
0.0000 0.0000 0.0000
0.0000 2.3784 0.0000
0.0000 0.0000 2.3784
2.3784 0.0000 0.0000
2.3784 2.3784 2.3784
```

Output
Uncorrected formation energy, eV/atom: 0.388
Space-group type: Pm-3m

***

Question: Which formula does entry 2 have?
Answer: NbPtS3

***

Question: Which formula does entry 1 have?
Answer: MnSnMoP